## Ta4GaBiC2 (PBE-GGA)

Data for a relaxed Ta4GaBiC2 crystal.

Properties
total energy	-9.39	eV/atom

POSCAR file:
```
Ta4GaBiC2
1.0
3.2529 0.0000 0.0000
-1.6264 2.8171 0.0000
0.0000 0.0000 13.5986
Ta Ga Bi C
4 1 1 2
Direct
0.0000 0.0000 0.1546
0.0000 0.0000 0.8454
0.3333 0.6667 0.3245
0.3333 0.6667 0.6755
0.3333 0.6667 0.0000
0.0000 0.0000 0.5000
0.6667 0.3333 0.2407
0.6667 0.3333 0.7593
```